# 1
VASP calculation (PBE-GGA) on Y2Ho7Cd2 after structural relaxation.

Unit cell a=7.979 b=6.584 c=6.584 alpha=92.15 beta=79.81 gamma=79.81
Element x y z (fractional)
Y: 0.500 0.179 0.821
Y: 0.500 0.821 0.179
Cd: 0.143 0.601 0.601
Cd: 0.857 0.399 0.399
Ho: 0.174 0.116 0.523
Ho: 0.000 0.000 0.000
Ho: 0.466 0.692 0.692
Ho: 0.826 0.477 0.884
Ho: 0.534 0.308 0.308
Ho: 0.174 0.523 0.116
Ho: 0.826 0.884 0.477

Computed properties:
space group	C2/m (12)
magnetic moment	0.00	μB/f.u.
calculated formation energy	37	meV per atom


# 2
VASP calculation (PBE-GGA) on Nb2VSb after structural relaxation.

Unit cell a=4.220 b=4.099 c=4.099 alpha=90.00 beta=90.00 gamma=90.00
Element x y z (fractional)
V: 0.500 0.000 0.000
Nb: 0.000 0.000 0.500
Nb: 0.000 0.500 0.000
Sb: 0.500 0.500 0.500

Computed properties:
space group	P4/mmm (123)
magnetic moment	0.00	μB/f.u.
formation energy without anion corrections	-101	meV/atom


# 3
VASP calculation (PBE-GGA) on AcSm6Dy2Ho3 after structural relaxation.

Unit cell a=6.268 b=6.268 c=11.986 alpha=95.00 beta=95.00 gamma=119.99
Element x y z (fractional)
Sm: 0.085 0.422 0.255
Sm: 0.915 0.578 0.745
Sm: 0.578 0.915 0.745
Sm: 0.422 0.085 0.255
Sm: 0.251 0.251 0.745
Sm: 0.749 0.749 0.255
Dy: 0.333 0.667 0.000
Dy: 0.667 0.333 0.000
Ac: 0.000 0.000 0.000
Ho: 0.500 0.500 0.500
Ho: 0.833 0.167 0.500
Ho: 0.167 0.833 0.500

Computed properties:
space group	C2/m (12)
magnetic moment	0.00	μB/f.u.
calculated formation energy	29	meV per atom